First-principles (PBE-GGA) data for LiAlCr2 after structural relaxation, as listed in Alexandria via LeMat-Bulk.

Cell and atoms, written as CIF:
```
data_LiAlCr2
_symmetry_space_group_name_H-M 'P 1'
_symmetry_Int_Tables_number 1
_cell_length_a 5.2732
_cell_length_b 5.2732
_cell_length_c 5.2732
_cell_angle_alpha 101.82
_cell_angle_beta 101.82
_cell_angle_gamma 126.18
loop_
_symmetry_equiv_pos_as_xyz
'x,y,z'
loop_
_atom_site_label
_atom_site_fract_x
_atom_site_fract_y
_atom_site_fract_z
Li1 0.0000 0.0000 0.0000
Li2 0.7500 0.2500 0.5000
Al1 0.2500 0.7500 0.5000
Al2 0.5000 0.5000 0.0000
Cr1 0.1113 0.1250 0.4863
Cr2 0.3750 0.8887 0.0137
Cr3 0.6387 0.6250 0.5137
Cr4 0.8750 0.3613 0.9863
```

Computed properties:
The calculation puts the energy of formation from the pure elements at 735.4 meV/atom. The calculation puts the spin magnetization at 0.486 μB per atom. The calculation puts the density of states at the Fermi level at 7.8 states/eV/cell.